Record 1
# CrSb3F, single point on PBEsol structure, DFT meta-GGA SCAN
# - raw formation energy (eV per atom) = -0.020
# - M_tot (μB per formula unit) = 0.94
data_CrSb3F
_chemical_formula_sum 'Cr1 Sb3 F1'
_symmetry_space_group_name_H-M 'P m -3 m'
_symmetry_Int_Tables_number 221
_symmetry_space_group_name_Hall '-P 4 2 3'
_cell_length_a 4.8672
_cell_length_b 4.8672
_cell_length_c 4.8672
_cell_angle_alpha 90.00
_cell_angle_beta 90.00
_cell_angle_gamma 90.00
loop_
_atom_site_label
_atom_site_fract_x
_atom_site_fract_y
_atom_site_fract_z
Cr1 0.0000 0.0000 0.0000
Sb1 0.0000 0.0000 0.5000
F1 0.5000 0.5000 0.5000

Record 2
# LaHgPt2, single point on PBEsol structure, DFT meta-GGA SCAN
# - ΔE_f (eV/atom) = -0.82
# - M_tot (μB per formula unit) = 0.00
data_LaHgPt2
_chemical_formula_sum 'La2 Hg2 Pt4'
_symmetry_space_group_name_H-M 'A m m 2'
_symmetry_Int_Tables_number 38
_symmetry_space_group_name_Hall 'A 2 -2'
_cell_length_a 4.1810
_cell_length_b 3.9291
_cell_length_c 10.3266
_cell_angle_alpha 90.00
_cell_angle_beta 90.00
_cell_angle_gamma 90.00
loop_
_atom_site_label
_atom_site_fract_x
_atom_site_fract_y
_atom_site_fract_z
La1 0.0000 0.0000 0.0000
Hg1 0.5000 0.0000 0.2928
Pt1 0.0000 0.0000 0.7301
Pt2 0.5000 0.0000 0.5653

Record 3
# SiBr2, single point on PBEsol structure, DFT meta-GGA SCAN
# - raw formation energy (eV per atom) = -0.676
# - M_tot (μB per formula unit) = 0.00
data_SiBr2
_chemical_formula_sum 'Si24 Br48'
_symmetry_space_group_name_H-M 'C 1 2/c 1'
_symmetry_Int_Tables_number 15
_symmetry_space_group_name_Hall '-C 2yc'
_cell_length_a 18.7248
_cell_length_b 10.3183
_cell_length_c 14.4129
_cell_angle_alpha 90.00
_cell_angle_beta 109.16
_cell_angle_gamma 90.00
loop_
_atom_site_label
_atom_site_fract_x
_atom_site_fract_y
_atom_site_fract_z
Si1 0.1279 0.2042 0.4912
Si2 0.1563 0.3971 0.4229
Si3 0.2170 0.0379 0.5036
Br1 0.0155 0.1329 0.3991
Br2 0.0808 0.4473 0.9419
Br3 0.1283 0.2536 0.6413
Br4 0.1386 0.3648 0.2646
Br5 0.1944 0.1243 0.0910
Br6 0.2025 0.0231 0.8509

Record 4
# Zn3In4, single point on PBEsol structure, DFT meta-GGA SCAN
# - ΔE_f (eV/atom) = 0.10
# - M_tot (μB per formula unit) = 0.00
data_Zn3In4
_chemical_formula_sum 'Zn3 In4'
_symmetry_space_group_name_H-M 'P 6/m m m'
_symmetry_Int_Tables_number 191
_symmetry_space_group_name_Hall '-P 6 2'
_cell_length_a 5.1228
_cell_length_b 5.1228
_cell_length_c 6.4157
_cell_angle_alpha 90.00
_cell_angle_beta 90.00
_cell_angle_gamma 120.00
loop_
_atom_site_label
_atom_site_fract_x
_atom_site_fract_y
_atom_site_fract_z
Zn1 0.0000 0.5000 0.0000
In1 0.0000 0.0000 0.2512
In2 0.3333 0.6667 0.5000